KTl2Mo | PBE | optimized geometry

ρ ... 7.39 g/cm3
Relative energy among the computed polymorphs ... 103 meV per atom
Formation enthalpy at 0 K ... 0.615 eV per atom
E ... -0.1305 Ha/atom

abc: 3.1168 4.8113 8.1505
angles: 90.00 90.14 90.00
Space group Pm (No. 6)
Unique sites:
K: 0.0000 0.0000 0.0000 (multiplicity 1)
Tl: 0.4970 0.0000 0.3919 (multiplicity 1)
Tl: 0.4990 0.5000 0.7060 (multiplicity 1)
Mo: 0.9970 0.5000 0.4008 (multiplicity 1)